1.
PuHfSn: relaxed, PBE-GGA.

Values from the calculation:
Formation energy (meV/atom): 299
DOS at the Fermi energy (states/eV per cell): 6.615
Offset from the most stable computed form (meV/atom): 208
Final energy (eV per atom): -9.1306

a = 8.7637 Å, b = 8.7637 Å, c = 8.7637 Å
α = 159.75°, β = 159.75°, γ = 28.80°
Atoms (fractional coordinates):
1 Pu 0.0000 0.0000 0.0000
2 Hf 0.6356 0.6356 0.0000
3 Sn 0.8120 0.8120 0.0000

2.
PuHf2Sn: relaxed, PBE-GGA.

Values from the calculation:
Formation energy (meV/atom): -44
DOS at the Fermi energy (states/eV per cell): 10.741
Offset from the most stable computed form (meV/atom): 145
Final energy (eV per atom): -9.6041

a = 5.0144 Å, b = 5.0144 Å, c = 5.0144 Å
α = 60.00°, β = 60.00°, γ = 60.00°
Atoms (fractional coordinates):
1 Pu 0.0000 0.0000 0.0000
2 Hf 0.2500 0.2500 0.2500
3 Hf 0.7500 0.7500 0.7500
4 Sn 0.5000 0.5000 0.5000

3.
Pu2HfSn: relaxed, PBE-GGA.

Values from the calculation:
Formation energy (meV/atom): -197
DOS at the Fermi energy (states/eV per cell): 10.093
Offset from the most stable computed form (meV/atom): 0
Final energy (eV per atom): -10.8516

a = 4.4060 Å, b = 4.4060 Å, c = 4.8950 Å
α = 90.00°, β = 90.00°, γ = 90.00°
Atoms (fractional coordinates):
1 Pu 0.0000 0.5000 0.0000
2 Pu 0.5000 0.0000 0.0000
3 Hf 0.0000 0.0000 0.5000
4 Sn 0.5000 0.5000 0.5000

4.
Pu2HfSn: relaxed, PBE-GGA.

Values from the calculation:
Formation energy (meV/atom): 106
DOS at the Fermi energy (states/eV per cell): 12.872
Offset from the most stable computed form (meV/atom): 303
Final energy (eV per atom): -10.5488

a = 5.2274 Å, b = 5.2274 Å, c = 5.2274 Å
α = 60.00°, β = 60.00°, γ = 60.00°
Atoms (fractional coordinates):
1 Pu 0.2500 0.2500 0.2500
2 Pu 0.7500 0.7500 0.7500
3 Hf 0.0000 0.0000 0.0000
4 Sn 0.5000 0.5000 0.5000

5.
PuHfSn2: relaxed, PBE-GGA.

Values from the calculation:
Formation energy (meV/atom): -234
DOS at the Fermi energy (states/eV per cell): 10.746
Offset from the most stable computed form (meV/atom): 23
Final energy (eV per atom): -8.3063

a = 4.6500 Å, b = 4.6500 Å, c = 4.4237 Å
α = 90.00°, β = 90.00°, γ = 90.00°
Atoms (fractional coordinates):
1 Pu 0.0000 0.0000 0.0000
2 Hf 0.5000 0.5000 0.0000
3 Sn 0.0000 0.5000 0.5000
4 Sn 0.5000 0.0000 0.5000

6.
PuHfSn: relaxed, PBE-GGA.

Values from the calculation:
Formation energy (meV/atom): 91
DOS at the Fermi energy (states/eV per cell): 7.786
Offset from the most stable computed form (meV/atom): 0
Final energy (eV per atom): -9.3384

a = 5.1282 Å, b = 5.1282 Å, c = 3.0907 Å
α = 90.00°, β = 90.00°, γ = 120.00°
Atoms (fractional coordinates):
1 Pu 0.0000 0.0000 0.0000
2 Hf 0.6667 0.3333 0.0000
3 Sn 0.3333 0.6667 0.5000

7.
PuHfSn2: relaxed, PBE-GGA.

Values from the calculation:
Formation energy (meV/atom): 33
DOS at the Fermi energy (states/eV per cell): 9.417
Offset from the most stable computed form (meV/atom): 289
Final energy (eV per atom): -8.0401

a = 11.5517 Å, b = 11.5517 Å, c = 11.5517 Å
α = 16.13°, β = 16.13°, γ = 16.13°
Atoms (fractional coordinates):
1 Pu 0.0000 0.0000 0.0000
2 Hf 0.5000 0.5000 0.5000
3 Sn 0.0937 0.0937 0.0937
4 Sn 0.9063 0.9063 0.9063

8.
PuHf3Sn2: relaxed, PBE-GGA.

Values from the calculation:
Formation energy (meV/atom): -149
DOS at the Fermi energy (states/eV per cell): 24.065
Final energy (eV per atom): -8.8487

a = 8.9133 Å, b = 8.9133 Å, c = 8.1709 Å
α = 112.07°, β = 112.07°, γ = 29.16°
Atoms (fractional coordinates):
1 Pu 0.1183 0.1183 0.1749
2 Pu 0.8817 0.8817 0.8251
3 Hf 0.0665 0.0665 0.6871
4 Hf 0.3029 0.3029 0.1110
5 Hf 0.3823 0.3823 0.5100
6 Hf 0.6177 0.6177 0.4900
7 Hf 0.6971 0.6971 0.8890
8 Hf 0.9335 0.9335 0.3129
9 Sn 0.2412 0.2412 0.6783
10 Sn 0.4761 0.4761 0.1443
11 Sn 0.5239 0.5239 0.8557
12 Sn 0.7588 0.7588 0.3217

9.
PuHfSn: relaxed, PBE-GGA.

Values from the calculation:
Formation energy (meV/atom): 183
DOS at the Fermi energy (states/eV per cell): 6.642
Offset from the most stable computed form (meV/atom): 92
Final energy (eV per atom): -9.2462

a = 9.5238 Å, b = 9.5238 Å, c = 9.5238 Å
α = 25.12°, β = 25.12°, γ = 25.12°
Atoms (fractional coordinates):
1 Pu 0.1681 0.1681 0.1681
2 Pu 0.8319 0.8319 0.8319
3 Hf 0.4278 0.4278 0.4278
4 Hf 0.5722 0.5722 0.5722
5 Sn 0.3036 0.3036 0.3036
6 Sn 0.6964 0.6964 0.6964

10.
PuHf2Ta: relaxed, PBE-GGA.

Values from the calculation:
Formation energy (meV/atom): 176
DOS at the Fermi energy (states/eV per cell): 8.009
Final energy (eV per atom): -11.3469

a = 3.1100 Å, b = 3.1100 Å, c = 8.9638 Å
α = 90.00°, β = 90.00°, γ = 90.00°
Atoms (fractional coordinates):
1 Pu 0.0000 0.0000 0.0000
2 Hf 0.5000 0.5000 0.2649
3 Hf 0.5000 0.5000 0.7351
4 Ta 0.0000 0.0000 0.5000

11.
PuHfTa: relaxed, PBE-GGA.

Values from the calculation:
Formation energy (meV/atom): 219
DOS at the Fermi energy (states/eV per cell): 4.657
Offset from the most stable computed form (meV/atom): 45
Final energy (eV per atom): -11.8265

a = 7.0905 Å, b = 7.0905 Å, c = 7.0905 Å
α = 154.71°, β = 154.71°, γ = 36.06°
Atoms (fractional coordinates):
1 Pu 0.0000 0.0000 0.0000
2 Hf 0.6838 0.6838 0.0000
3 Ta 0.3360 0.3360 0.0000

12.
PuHfTa: relaxed, PBE-GGA.

Values from the calculation:
Formation energy (meV/atom): 174
DOS at the Fermi energy (states/eV per cell): 7.096
Offset from the most stable computed form (meV/atom): 0
Final energy (eV per atom): -11.8717

a = 4.9105 Å, b = 4.9105 Å, c = 3.0424 Å
α = 90.00°, β = 90.00°, γ = 120.00°
Atoms (fractional coordinates):
1 Pu 0.0000 0.0000 0.0000
2 Hf 0.3333 0.6667 0.4501
3 Ta 0.6667 0.3333 0.8927

13.
PuHfTa: relaxed, PBE-GGA.

Values from the calculation:
Formation energy (meV/atom): 279
DOS at the Fermi energy (states/eV per cell): 11.040
Offset from the most stable computed form (meV/atom): 105
Final energy (eV per atom): -11.7671

a = 9.6138 Å, b = 9.6138 Å, c = 3.7596 Å
α = 90.00°, β = 90.00°, γ = 159.60°
Atoms (fractional coordinates):
1 Pu 0.0359 0.9641 0.7500
2 Pu 0.9641 0.0359 0.2500
3 Hf 0.3725 0.6275 0.7500
4 Hf 0.6275 0.3725 0.2500
5 Ta 0.2127 0.7873 0.7500
6 Ta 0.7873 0.2127 0.2500

14.
TbPuHf2: relaxed, PBE-GGA.

Values from the calculation:
Formation energy (meV/atom): 228
DOS at the Fermi energy (states/eV per cell): 7.553
Offset from the most stable computed form (meV/atom): 35
Final energy (eV per atom): -9.4888

a = 3.7683 Å, b = 3.7683 Å, c = 7.0518 Å
α = 90.00°, β = 90.00°, γ = 90.00°
Atoms (fractional coordinates):
1 Tb 0.0000 0.0000 0.0000
2 Pu 0.0000 0.0000 0.5000
3 Hf 0.5000 0.5000 0.2854
4 Hf 0.5000 0.5000 0.7146

15.
TbPuHf2: relaxed, PBE-GGA.

Values from the calculation:
Formation energy (meV/atom): 206
DOS at the Fermi energy (states/eV per cell): 9.455
Offset from the most stable computed form (meV/atom): 12
Final energy (eV per atom): -9.5113

a = 10.8546 Å, b = 10.8546 Å, c = 10.8546 Å
α = 17.37°, β = 17.37°, γ = 17.37°
Atoms (fractional coordinates):
1 Tb 0.0000 0.0000 0.0000
2 Pu 0.5000 0.5000 0.5000
3 Hf 0.2470 0.2470 0.2470
4 Hf 0.7530 0.7530 0.7530

16.
TbPuHf2: relaxed, PBE-GGA.

Values from the calculation:
Formation energy (meV/atom): 194
DOS at the Fermi energy (states/eV per cell): 10.534
Offset from the most stable computed form (meV/atom): 0
Final energy (eV per atom): -9.5234

a = 4.5958 Å, b = 4.5958 Å, c = 4.7063 Å
α = 90.00°, β = 90.00°, γ = 90.00°
Atoms (fractional coordinates):
1 Tb 0.0000 0.0000 0.0000
2 Pu 0.5000 0.5000 0.0000
3 Hf 0.0000 0.5000 0.5000
4 Hf 0.5000 0.0000 0.5000

17.
TbPu2Hf: relaxed, PBE-GGA.

Values from the calculation:
Formation energy (meV/atom): 227
DOS at the Fermi energy (states/eV per cell): 13.998
Offset from the most stable computed form (meV/atom): 51
Final energy (eV per atom): -10.5854

a = 4.6661 Å, b = 4.6661 Å, c = 4.7532 Å
α = 90.00°, β = 90.00°, γ = 90.00°
Atoms (fractional coordinates):
1 Tb 0.0000 0.0000 0.0000
2 Pu 0.0000 0.5000 0.5000
3 Pu 0.5000 0.0000 0.5000
4 Hf 0.5000 0.5000 0.0000

18.
TbPu2Hf: relaxed, PBE-GGA.

Values from the calculation:
Formation energy (meV/atom): 175
DOS at the Fermi energy (states/eV per cell): 12.472
Offset from the most stable computed form (meV/atom): 0
Final energy (eV per atom): -10.6364

a = 3.2845 Å, b = 3.2845 Å, c = 9.6864 Å
α = 90.00°, β = 90.00°, γ = 90.00°
Atoms (fractional coordinates):
1 Tb 0.0000 0.0000 0.0000
2 Pu 0.5000 0.5000 0.2692
3 Pu 0.5000 0.5000 0.7308
4 Hf 0.0000 0.0000 0.5000

19.
PuHfTc4: relaxed, PBE-GGA.

Values from the calculation:
Formation energy (meV/atom): -95
DOS at the Fermi energy (states/eV per cell): 11.760
Final energy (eV per atom): -11.0531

a = 5.3160 Å, b = 5.3160 Å, c = 5.3160 Å
α = 60.00°, β = 60.00°, γ = 60.00°
Atoms (fractional coordinates):
1 Pu 0.0000 0.0000 0.0000
2 Hf 0.7500 0.7500 0.7500
3 Tc 0.3754 0.3754 0.3754
4 Tc 0.3754 0.3754 0.8737
5 Tc 0.3754 0.8737 0.3754
6 Tc 0.8737 0.3754 0.3754

20.
PuHf3Tc2: relaxed, PBE-GGA.

Values from the calculation:
Formation energy (meV/atom): -287
DOS at the Fermi energy (states/eV per cell): 8.902
Final energy (eV per atom): -11.1076

a = 3.2726 Å, b = 3.2726 Å, c = 11.1475 Å
α = 90.00°, β = 90.00°, γ = 90.00°
Atoms (fractional coordinates):
1 Pu 0.0000 0.0000 0.0000
2 Hf 0.5000 0.5000 0.2143
3 Hf 0.5000 0.5000 0.5000
4 Hf 0.5000 0.5000 0.7857
5 Tc 0.0000 0.0000 0.3490
6 Tc 0.0000 0.0000 0.6510